Density functional theory data (PBEsol) for an optimized crystal structure of InHPt2.

a b c (Å): 5.198 5.198 5.198
angles (deg): 106.58 106.58 115.43
Positions (direct):
In (0.000, 0.000, 0.000)
In (0.750, 0.250, 0.500)
H (0.250, 0.750, 0.500)
H (0.500, 0.500, 0.000)
Pt (0.233, 0.625, 0.108)
Pt (0.375, 0.483, 0.608)
Pt (0.517, 0.125, 0.892)
Pt (0.875, 0.767, 0.392)

## Properties
* crystal system: tetragonal
* SG: I-42d, No. 122
* total magnetic moment: 0.000 μB per atom
* offset from the most stable computed form: 0.0 kJ/mol of formula units

---

Density functional theory data (PBEsol) for an optimized crystal structure of InTcH2Pt.

a b c (Å): 3.670 3.670 5.253
angles (deg): 90.00 90.00 90.00
Positions (direct):
In (0.000, 0.000, 0.000)
Tc (0.500, 0.500, 0.000)
H (0.000, 0.500, 0.500)
H (0.500, 0.000, 0.500)
Pt (0.000, 0.000, 0.500)

## Properties
* crystal system: tetragonal
* total DFT energy (no corrections): -4.79 eV/atom
* SG: P4/mmm, No. 123
* total magnetic moment: 0.510 μB per atom

---

Density functional theory data (PBEsol) for an optimized crystal structure of Rb3InH.

a b c (Å): 6.834 6.834 6.834
angles (deg): 90.00 90.00 90.00
Positions (direct):
Rb (0.000, 0.000, 0.500)
Rb (0.000, 0.500, 0.000)
Rb (0.500, 0.000, 0.000)
In (0.000, 0.000, 0.000)
H (0.500, 0.500, 0.500)

## Properties
* crystal system: cubic
* total DFT energy (no corrections): -1.40 eV/atom
* SG: Pm-3m, No. 221
* total magnetic moment: 0.011 μB per atom

---

Density functional theory data (PBEsol) for an optimized crystal structure of In3ReH.

a b c (Å): 5.159 5.159 5.159
angles (deg): 90.00 90.00 90.00
Positions (direct):
In (0.000, 0.000, 0.500)
In (0.000, 0.500, 0.000)
In (0.500, 0.000, 0.000)
Re (0.000, 0.000, 0.000)
H (0.500, 0.500, 0.500)

## Properties
* crystal system: cubic
* total DFT energy (no corrections): -4.18 eV/atom
* SG: Pm-3m, No. 221
* total magnetic moment: 0.225 μB per atom

---

Density functional theory data (PBEsol) for an optimized crystal structure of InReH3.

a b c (Å): 3.573 3.573 3.573
angles (deg): 90.00 90.00 90.00
Positions (direct):
In (0.000, 0.000, 0.000)
Re (0.500, 0.500, 0.500)
H (0.000, 0.500, 0.500)
H (0.500, 0.000, 0.500)
H (0.500, 0.500, 0.000)

## Properties
* crystal system: cubic
* total DFT energy (no corrections): -4.81 eV/atom
* SG: Pm-3m, No. 221
* total magnetic moment: 0.001 μB per atom

---

Density functional theory data (PBEsol) for an optimized crystal structure of In2H2Rh.

a b c (Å): 7.006 7.006 7.006
angles (deg): 154.75 154.75 36.01
Positions (direct):
In (0.129, 0.129, 0.000)
In (0.871, 0.871, 0.000)
H (0.250, 0.750, 0.500)
H (0.750, 0.250, 0.500)
Rh (0.500, 0.500, 0.000)

## Properties
* crystal system: tetragonal
* total DFT energy (no corrections): -4.00 eV/atom
* SG: I4/mmm, No. 139
* total magnetic moment: 0.000 μB per atom

---

Density functional theory data (PBEsol) for an optimized crystal structure of InH3Rh.

a b c (Å): 3.726 3.726 3.726
angles (deg): 90.00 90.00 90.00
Positions (direct):
In (0.000, 0.000, 0.000)
H (0.000, 0.000, 0.500)
H (0.000, 0.500, 0.000)
H (0.500, 0.000, 0.000)
Rh (0.500, 0.500, 0.500)

## Properties
* crystal system: cubic
* total DFT energy (no corrections): -3.23 eV/atom
* SG: Pm-3m, No. 221
* total magnetic moment: 0.221 μB per atom

---

Density functional theory data (PBEsol) for an optimized crystal structure of InHRh2.

a b c (Å): 4.240 4.240 4.240
angles (deg): 60.00 60.00 60.00
Positions (direct):
In (0.000, 0.000, 0.000)
H (0.500, 0.500, 0.500)
Rh (0.250, 0.250, 0.250)
Rh (0.750, 0.750, 0.750)

## Properties
* crystal system: cubic
* total DFT energy (no corrections): -5.22 eV/atom
* SG: Fm-3m, No. 225
* total magnetic moment: 0.000 μB per atom

---

Number 2 is which compound? InTcH2Pt